No. 1
Compound: AsIrSe2Br
Source: the Alexandria database
Functional: PBE
Structure: relaxed

## Properties
- SG = P4/mmm (123)
- relative energy among the computed polymorphs (meV/atom) = 1300.5
- energy relative to the elements, uncorrected (eV/atom) = 1.823

a b c (Å): 4.960 4.960 5.039
angles (deg): 90.00 90.00 90.00
Element x y z (fractional)
As 0.000 0.000 0.000
Ir 0.500 0.500 0.000
Se 0.000 0.500 0.500
Se 0.500 0.000 0.500
Br 0.000 0.000 0.500

---

No. 2
Compound: Sr2AsIrBr
Source: the Alexandria database
Functional: PBE
Structure: relaxed

## Properties
- SG = P4/mmm (123)
- energy relative to the elements, uncorrected (eV/atom) = 0.230

a b c (Å): 5.930 5.930 5.208
angles (deg): 90.00 90.00 90.00
Element x y z (fractional)
Sr 0.000 0.500 0.000
Sr 0.500 0.000 0.000
As 0.000 0.000 0.000
Ir 0.500 0.500 0.500
Br 0.000 0.000 0.500

---

No. 3
Compound: TaAsIrBr2
Source: the Alexandria database
Functional: PBE
Structure: relaxed

## Properties
- SG = P4/mmm (123)
- relative energy among the computed polymorphs (meV/atom) = 95.4
- energy relative to the elements, uncorrected (eV/atom) = 1.204

a b c (Å): 5.089 5.089 4.727
angles (deg): 90.00 90.00 90.00
Element x y z (fractional)
Ta 0.000 0.000 0.000
As 0.500 0.500 0.000
Ir 0.500 0.500 0.500
Br 0.000 0.500 0.500
Br 0.500 0.000 0.500

---

No. 4
Compound: TaAsIrBr2
Source: the Alexandria database
Functional: PBE
Structure: relaxed

## Properties
- SG = P4/mmm (123)
- relative energy among the computed polymorphs (meV/atom) = 0.0
- energy relative to the elements, uncorrected (eV/atom) = 1.108

a b c (Å): 4.952 4.952 5.231
angles (deg): 90.00 90.00 90.00
Element x y z (fractional)
Ta 0.000 0.000 0.000
As 0.000 0.000 0.500
Ir 0.500 0.500 0.500
Br 0.000 0.500 0.000
Br 0.500 0.000 0.000

---

No. 5
Compound: TcAsIrBr2
Source: the Alexandria database
Functional: PBE
Structure: relaxed

## Properties
- SG = P4/mmm (123)
- relative energy among the computed polymorphs (meV/atom) = 252.3
- energy relative to the elements, uncorrected (eV/atom) = 1.316

a b c (Å): 5.028 5.028 4.775
angles (deg): 90.00 90.00 90.00
Element x y z (fractional)
Tc 0.000 0.000 0.000
As 0.000 0.000 0.500
Ir 0.500 0.500 0.500
Br 0.000 0.500 0.000
Br 0.500 0.000 0.000

---

No. 6
Compound: TcAsIrBr2
Source: the Alexandria database
Functional: PBE
Structure: relaxed

## Properties
- SG = P4/mmm (123)
- relative energy among the computed polymorphs (meV/atom) = 0.0
- energy relative to the elements, uncorrected (eV/atom) = 1.064

a b c (Å): 5.247 5.247 4.674
angles (deg): 90.00 90.00 90.00
Element x y z (fractional)
Tc 0.000 0.000 0.000
As 0.500 0.500 0.000
Ir 0.500 0.500 0.500
Br 0.000 0.500 0.500
Br 0.500 0.000 0.500

---

No. 7
Compound: TeAs2IrBr
Source: the Alexandria database
Functional: PBE
Structure: relaxed

## Properties
- SG = P4/mmm (123)
- relative energy among the computed polymorphs (meV/atom) = 0.0
- energy relative to the elements, uncorrected (eV/atom) = 0.448

a b c (Å): 4.879 4.879 5.088
angles (deg): 90.00 90.00 90.00
Element x y z (fractional)
Te 0.000 0.000 0.000
As 0.000 0.500 0.500
As 0.500 0.000 0.500
Ir 0.500 0.500 0.500
Br 0.500 0.500 0.000

---

No. 8
Compound: TiAsIrBr2
Source: the Alexandria database
Functional: PBE
Structure: relaxed

## Properties
- SG = P4/mmm (123)
- relative energy among the computed polymorphs (meV/atom) = 159.3
- energy relative to the elements, uncorrected (eV/atom) = 0.736

a b c (Å): 4.837 4.837 5.248
angles (deg): 90.00 90.00 90.00
Element x y z (fractional)
Ti 0.000 0.000 0.000
As 0.000 0.000 0.500
Ir 0.500 0.500 0.500
Br 0.000 0.500 0.000
Br 0.500 0.000 0.000

---

No. 9
Compound: TiAsIrBr2
Source: the Alexandria database
Functional: PBE
Structure: relaxed

## Properties
- SG = P4/mmm (123)
- relative energy among the computed polymorphs (meV/atom) = 0.0
- energy relative to the elements, uncorrected (eV/atom) = 0.577

a b c (Å): 5.304 5.304 4.621
angles (deg): 90.00 90.00 90.00
Element x y z (fractional)
Ti 0.000 0.000 0.000
As 0.500 0.500 0.000
Ir 0.500 0.500 0.500
Br 0.000 0.500 0.500
Br 0.500 0.000 0.500

---

No. 10
Compound: VAs2IrBr
Source: the Alexandria database
Functional: PBE
Structure: relaxed

## Properties
- SG = P4/mmm (123)
- relative energy among the computed polymorphs (meV/atom) = 195.4
- energy relative to the elements, uncorrected (eV/atom) = 0.982

a b c (Å): 4.765 4.765 4.706
angles (deg): 90.00 90.00 90.00
Element x y z (fractional)
V 0.000 0.000 0.000
As 0.000 0.500 0.000
As 0.500 0.000 0.000
Ir 0.500 0.500 0.500
Br 0.000 0.000 0.500

---

No. 11
Compound: VAs2IrBr
Source: the Alexandria database
Functional: PBE
Structure: relaxed

## Properties
- SG = P4/mmm (123)
- relative energy among the computed polymorphs (meV/atom) = 0.0
- energy relative to the elements, uncorrected (eV/atom) = 0.787

a b c (Å): 4.732 4.732 5.431
angles (deg): 90.00 90.00 90.00
Element x y z (fractional)
V 0.000 0.000 0.000
As 0.000 0.500 0.500
As 0.500 0.000 0.500
Ir 0.500 0.500 0.500
Br 0.500 0.500 0.000

---

No. 12
Compound: AsIrWBr2
Source: the Alexandria database
Functional: PBE
Structure: relaxed

## Properties
- SG = P4/mmm (123)
- relative energy among the computed polymorphs (meV/atom) = 0.0
- energy relative to the elements, uncorrected (eV/atom) = 1.455

a b c (Å): 5.220 5.220 4.666
angles (deg): 90.00 90.00 90.00
Element x y z (fractional)
As 0.000 0.000 0.000
Ir 0.000 0.000 0.500
W 0.500 0.500 0.000
Br 0.000 0.500 0.500
Br 0.500 0.000 0.500

---

No. 13
Compound: AsIrWBr2
Source: the Alexandria database
Functional: PBE
Structure: relaxed

## Properties
- SG = P4/mmm (123)
- relative energy among the computed polymorphs (meV/atom) = 7.5
- energy relative to the elements, uncorrected (eV/atom) = 1.463

a b c (Å): 4.924 4.924 5.032
angles (deg): 90.00 90.00 90.00
Element x y z (fractional)
As 0.000 0.000 0.000
Ir 0.500 0.500 0.000
W 0.000 0.000 0.500
Br 0.000 0.500 0.500
Br 0.500 0.000 0.500

---

No. 14
Compound: YAsIr2Br
Source: the Alexandria database
Functional: PBE
Structure: relaxed

## Properties
- SG = P4/mmm (123)
- energy relative to the elements, uncorrected (eV/atom) = 0.222

a b c (Å): 4.550 4.550 5.756
angles (deg): 90.00 90.00 90.00
Element x y z (fractional)
Y 0.000 0.000 0.000
As 0.000 0.000 0.500
Ir 0.000 0.500 0.500
Ir 0.500 0.000 0.500
Br 0.500 0.500 0.000

---

No. 15
Compound: YAs2IrBr
Source: the Alexandria database
Functional: PBE
Structure: relaxed

## Properties
- SG = P4/mmm (123)
- relative energy among the computed polymorphs (meV/atom) = 1013.7
- energy relative to the elements, uncorrected (eV/atom) = 1.007

a b c (Å): 5.476 5.476 5.272
angles (deg): 90.00 90.00 90.00
Element x y z (fractional)
Y 0.000 0.000 0.000
As 0.000 0.500 0.000
As 0.500 0.000 0.000
Ir 0.500 0.500 0.500
Br 0.000 0.000 0.500

---

No. 16
Compound: YAs2IrBr
Source: the Alexandria database
Functional: PBE
Structure: relaxed

## Properties
- SG = P4/mmm (123)
- relative energy among the computed polymorphs (meV/atom) = 0.0
- energy relative to the elements, uncorrected (eV/atom) = -0.007

a b c (Å): 4.822 4.822 5.216
angles (deg): 90.00 90.00 90.00
Element x y z (fractional)
Y 0.000 0.000 0.000
As 0.000 0.500 0.500
As 0.500 0.000 0.500
Ir 0.500 0.500 0.500
Br 0.500 0.500 0.000

---

No. 17
Compound: ZnAs2IrBr
Source: the Alexandria database
Functional: PBE
Structure: relaxed

## Properties
- SG = P4/mmm (123)
- relative energy among the computed polymorphs (meV/atom) = 0.0
- energy relative to the elements, uncorrected (eV/atom) = 0.496

a b c (Å): 4.780 4.780 5.478
angles (deg): 90.00 90.00 90.00
Element x y z (fractional)
Zn 0.000 0.000 0.000
As 0.000 0.500 0.500
As 0.500 0.000 0.500
Ir 0.500 0.500 0.500
Br 0.500 0.500 0.000

---

No. 18
Compound: ZnAs2IrBr
Source: the Alexandria database
Functional: PBE
Structure: relaxed

## Properties
- SG = P4/mmm (123)
- relative energy among the computed polymorphs (meV/atom) = 741.6
- energy relative to the elements, uncorrected (eV/atom) = 1.237

a b c (Å): 4.706 4.706 4.935
angles (deg): 90.00 90.00 90.00
Element x y z (fractional)
Zn 0.000 0.000 0.000
As 0.000 0.500 0.000
As 0.500 0.000 0.000
Ir 0.500 0.500 0.500
Br 0.000 0.000 0.500

---

No. 19
Compound: ZrAs2IrBr
Source: the Alexandria database
Functional: PBE
Structure: relaxed

## Properties
- SG = P4/mmm (123)
- relative energy among the computed polymorphs (meV/atom) = 661.3
- energy relative to the elements, uncorrected (eV/atom) = 1.169

a b c (Å): 4.941 4.941 4.645
angles (deg): 90.00 90.00 90.00
Element x y z (fractional)
Zr 0.000 0.000 0.000
As 0.000 0.500 0.500
As 0.500 0.000 0.500
Ir 0.500 0.500 0.000
Br 0.500 0.500 0.500

---

No. 20
Compound: ZrAs2IrBr
Source: the Alexandria database
Functional: PBE
Structure: relaxed

## Properties
- SG = P4/mmm (123)
- relative energy among the computed polymorphs (meV/atom) = 445.3
- energy relative to the elements, uncorrected (eV/atom) = 0.953

a b c (Å): 5.213 5.213 5.078
angles (deg): 90.00 90.00 90.00
Element x y z (fractional)
Zr 0.000 0.000 0.000
As 0.000 0.500 0.000
As 0.500 0.000 0.000
Ir 0.500 0.500 0.500
Br 0.000 0.000 0.500